{
  "formula": "Nd3Al12Ru4",
  "functional": "meta-GGA SCAN",
  "state": "PBEsol geometry",
  "dos_at_fermi_per_ev_fu": 7.8,
  "ef_ev_per_atom": -0.741,
  "space_group": "No. 194",
  "cell": [[8.813, 0.000, 0.000], [-4.407, 7.632, 0.000], [0.000, 0.000, 9.607]],
  "species": ["Nd", "Nd", "Nd", "Nd", "Nd", "Nd", "Al", "Al", "Al", "Al", "Al", "Al", "Al", "Al", "Al", "Al", "Al", "Al", "Al", "Al", "Al", "Al", "Al", "Al", "Al", "Al", "Al", "Al", "Al", "Al", "Ru", "Ru", "Ru", "Ru", "Ru", "Ru", "Ru", "Ru"],
  "frac_coords": [[0.192, 0.385, 0.250], [0.192, 0.808, 0.250], [0.385, 0.192, 0.750], [0.615, 0.808, 0.250], [0.808, 0.192, 0.750], [0.808, 0.615, 0.750], [0.000, 0.000, 0.250], [0.000, 0.000, 0.750], [0.124, 0.562, 0.750], [0.162, 0.325, 0.575], [0.162, 0.325, 0.925], [0.162, 0.838, 0.575], [0.162, 0.838, 0.925], [0.325, 0.162, 0.075], [0.325, 0.162, 0.425], [0.333, 0.667, 0.010], [0.333, 0.667, 0.490], [0.438, 0.562, 0.750], [0.438, 0.876, 0.750], [0.562, 0.124, 0.250], [0.562, 0.438, 0.250], [0.667, 0.333, 0.510], [0.667, 0.333, 0.990], [0.675, 0.838, 0.575], [0.675, 0.838, 0.925], [0.838, 0.162, 0.075], [0.838, 0.162, 0.425], [0.838, 0.675, 0.075], [0.838, 0.675, 0.425], [0.876, 0.438, 0.250], [0.000, 0.000, 0.000], [0.000, 0.000, 0.500], [0.000, 0.500, 0.000], [0.000, 0.500, 0.500], [0.500, 0.000, 0.000], [0.500, 0.000, 0.500], [0.500, 0.500, 0.000], [0.500, 0.500, 0.500]]
}


{
  "formula": "CrHgIr2",
  "functional": "meta-GGA SCAN",
  "state": "PBEsol geometry",
  "dos_at_fermi_per_ev_fu": 3.9,
  "ef_ev_per_atom": 0.247,
  "space_group": "No. 123",
  "cell": [[3.959, 0.000, 0.000], [0.000, 3.959, 0.000], [0.000, 0.000, 3.828]],
  "species": ["Cr", "Hg", "Ir", "Ir"],
  "frac_coords": [[0.000, 0.000, 0.000], [0.500, 0.500, 0.000], [0.000, 0.500, 0.500], [0.500, 0.000, 0.500]]
}


{
  "formula": "MnPt2W",
  "functional": "meta-GGA SCAN",
  "state": "PBEsol geometry",
  "dos_at_fermi_per_ev_fu": 2.2,
  "ef_ev_per_atom": -0.452,
  "space_group": "No. 65",
  "cell": [[2.698, -3.930, 0.000], [2.698, 3.930, 0.000], [0.000, 0.000, 2.725]],
  "species": ["Mn", "Pt", "Pt", "W"],
  "frac_coords": [[0.000, 0.000, 0.000], [0.000, 0.500, 0.500], [0.500, 0.000, 0.500], [0.500, 0.500, 0.000]]
}


{
  "formula": "Pr6RuBr10",
  "functional": "meta-GGA SCAN",
  "state": "PBEsol geometry",
  "dos_at_fermi_per_ev_fu": 1.1,
  "space_group": "No. 2",
  "cell": [[7.570, 0.000, 0.000], [-2.751, 8.823, 0.000], [-1.160, -3.585, 8.751]],
  "species": ["Pr", "Pr", "Pr", "Pr", "Pr", "Pr", "Ru", "Br", "Br", "Br", "Br", "Br", "Br", "Br", "Br", "Br", "Br"],
  "frac_coords": [[0.027, 0.209, 0.410], [0.135, 0.553, 0.247], [0.382, 0.655, 0.692], [0.618, 0.345, 0.308], [0.865, 0.447, 0.753], [0.973, 0.791, 0.590], [0.000, 0.500, 0.500], [0.091, 0.873, 0.327], [0.192, 0.236, 0.144], [0.258, 0.580, 0.953], [0.365, 0.975, 0.778], [0.445, 0.324, 0.582], [0.555, 0.676, 0.418], [0.635, 0.025, 0.222], [0.742, 0.420, 0.047], [0.808, 0.764, 0.856], [0.909, 0.127, 0.673]]
}


{
  "formula": "ZnIn2As",
  "functional": "meta-GGA SCAN",
  "state": "PBEsol geometry",
  "dos_at_fermi_per_ev_fu": 1.5,
  "ef_ev_per_atom": 0.165,
  "space_group": "No. 35",
  "cell": [[2.326, -2.353, 0.000], [2.326, 2.353, 0.000], [0.000, 0.000, 7.745]],
  "species": ["Zn", "In", "In", "As"],
  "frac_coords": [[0.000, 0.000, 0.000], [0.000, 0.000, 0.441], [0.500, 0.500, 0.755], [0.500, 0.500, 0.175]]
}


{
  "formula": "In2Sn2O7",
  "functional": "meta-GGA SCAN",
  "state": "PBEsol geometry",
  "space_group": "No. 227",
  "cell": [[0.000, 5.128, 5.128], [5.128, 0.000, 5.128], [5.128, 5.128, 0.000]],
  "species": ["In", "In", "In", "In", "Sn", "Sn", "Sn", "Sn", "O", "O", "O", "O", "O", "O", "O", "O", "O", "O", "O", "O", "O", "O"],
  "frac_coords": [[0.000, 0.000, 0.000], [0.000, 0.000, 0.500], [0.000, 0.500, 0.000], [0.500, 0.000, 0.000], [0.000, 0.500, 0.500], [0.500, 0.000, 0.500], [0.500, 0.500, 0.000], [0.500, 0.500, 0.500], [0.125, 0.125, 0.125], [0.157, 0.157, 0.593], [0.157, 0.593, 0.157], [0.157, 0.593, 0.593], [0.407, 0.407, 0.843], [0.407, 0.843, 0.407], [0.407, 0.843, 0.843], [0.593, 0.157, 0.157], [0.593, 0.157, 0.593], [0.593, 0.593, 0.157], [0.843, 0.407, 0.407], [0.843, 0.407, 0.843], [0.843, 0.843, 0.407], [0.875, 0.875, 0.875]]
}


{
  "formula": "In3Pb4",
  "functional": "meta-GGA SCAN",
  "state": "PBEsol geometry",
  "dos_at_fermi_per_ev_fu": 2.8,
  "ef_ev_per_atom": 0.097,
  "space_group": "No. 191",
  "cell": [[6.054, 0.000, 0.000], [-3.027, 5.243, 0.000], [0.000, 0.000, 6.265]],
  "species": ["In", "In", "In", "Pb", "Pb", "Pb", "Pb"],
  "frac_coords": [[0.000, 0.500, 0.000], [0.500, 0.000, 0.000], [0.500, 0.500, 0.000], [0.000, 0.000, 0.256], [0.000, 0.000, 0.744], [0.333, 0.667, 0.500], [0.667, 0.333, 0.500]]
}


{
  "formula": "Ta7Mo",
  "functional": "meta-GGA SCAN",
  "state": "PBEsol geometry",
  "dos_at_fermi_per_ev_fu": 9.8,
  "ef_ev_per_atom": -0.034,
  "space_group": "No. 10",
  "cell": [[2.839, 0.000, 0.000], [0.000, 9.177, 0.000], [-0.938, 0.000, 5.308]],
  "species": ["Ta", "Ta", "Ta", "Ta", "Ta", "Ta", "Ta", "Mo"],
  "frac_coords": [[0.000, 0.000, 0.000], [0.000, 0.500, 0.000], [0.263, 0.246, 0.748], [0.263, 0.754, 0.748], [0.500, 0.500, 0.500], [0.737, 0.246, 0.252], [0.737, 0.754, 0.252], [0.500, 0.000, 0.500]]
}


{
  "formula": "AgMo4",
  "functional": "meta-GGA SCAN",
  "state": "PBEsol geometry",
  "dos_at_fermi_per_ev_fu": 3.8,
  "ef_ev_per_atom": 0.931,
  "space_group": "No. 139",
  "cell": [[-2.044, 2.044, 5.426], [2.044, -2.044, 5.426], [2.044, 2.044, -5.426]],
  "species": ["Ag", "Mo", "Mo", "Mo", "Mo"],
  "frac_coords": [[0.000, 0.000, 0.000], [0.250, 0.750, 0.500], [0.383, 0.383, 0.000], [0.617, 0.617, 0.000], [0.750, 0.250, 0.500]]
}


{
  "formula": "BiMoI2Cl",
  "functional": "meta-GGA SCAN",
  "state": "PBEsol geometry",
  "dos_at_fermi_per_ev_fu": 3.0,
  "space_group": "No. 123",
  "cell": [[5.514, 0.000, 0.000], [0.000, 5.514, 0.000], [0.000, 0.000, 5.419]],
  "species": ["Bi", "Mo", "I", "I", "Cl"],
  "frac_coords": [[0.000, 0.000, 0.000], [0.500, 0.500, 0.000], [0.000, 0.500, 0.500], [0.500, 0.000, 0.500], [0.000, 0.000, 0.500]]
}


{
  "formula": "RhWAu2",
  "functional": "meta-GGA SCAN",
  "state": "PBEsol geometry",
  "dos_at_fermi_per_ev_fu": 2.0,
  "ef_ev_per_atom": 0.363,
  "space_group": "No. 225",
  "cell": [[0.000, 3.146, 3.146], [3.146, 0.000, 3.146], [3.146, 3.146, 0.000]],
  "species": ["Rh", "W", "Au", "Au"],
  "frac_coords": [[0.000, 0.000, 0.000], [0.500, 0.500, 0.500], [0.250, 0.250, 0.250], [0.750, 0.750, 0.750]]
}


{
  "formula": "Ca2YAu",
  "functional": "meta-GGA SCAN",
  "state": "PBEsol geometry",
  "dos_at_fermi_per_ev_fu": 3.2,
  "ef_ev_per_atom": -0.534,
  "space_group": "No. 99",
  "cell": [[3.622, 0.000, 0.000], [0.000, 3.622, 0.000], [0.000, 0.000, 9.266]],
  "species": ["Ca", "Ca", "Y", "Au"],
  "frac_coords": [[0.000, 0.000, 0.000], [0.500, 0.500, 0.331], [0.000, 0.000, 0.635], [0.500, 0.500, 0.795]]
}


{
  "formula": "HfZr2Rh",
  "functional": "meta-GGA SCAN",
  "state": "PBEsol geometry",
  "dos_at_fermi_per_ev_fu": 4.6,
  "ef_ev_per_atom": -0.270,
  "space_group": "No. 225",
  "cell": [[0.000, 3.343, 3.343], [3.343, 0.000, 3.343], [3.343, 3.343, 0.000]],
  "species": ["Hf", "Zr", "Zr", "Rh"],
  "frac_coords": [[0.000, 0.000, 0.000], [0.250, 0.250, 0.250], [0.750, 0.750, 0.750], [0.500, 0.500, 0.500]]
}


{
  "formula": "Tl2HgAu",
  "functional": "meta-GGA SCAN",
  "state": "PBEsol geometry",
  "dos_at_fermi_per_ev_fu": 1.2,
  "ef_ev_per_atom": 0.015,
  "space_group": "No. 225",
  "cell": [[0.000, 3.638, 3.638], [3.638, 0.000, 3.638], [3.638, 3.638, 0.000]],
  "species": ["Tl", "Tl", "Hg", "Au"],
  "frac_coords": [[0.250, 0.250, 0.250], [0.750, 0.750, 0.750], [0.000, 0.000, 0.000], [0.500, 0.500, 0.500]]
}


{
  "formula": "BaSr2Ca",
  "functional": "meta-GGA SCAN",
  "state": "PBEsol geometry",
  "dos_at_fermi_per_ev_fu": 3.8,
  "ef_ev_per_atom": 0.027,
  "space_group": "No. 71",
  "cell": [[-2.291, 3.312, 6.611], [2.291, -3.312, 6.611], [2.291, 3.312, -6.611]],
  "species": ["Ba", "Sr", "Sr", "Ca"],
  "frac_coords": [[0.000, 0.000, 0.000], [0.259, 0.759, 0.500], [0.741, 0.241, 0.500], [0.500, 0.500, 0.000]]
}


{
  "formula": "BaCaP2O7",
  "functional": "meta-GGA SCAN",
  "state": "PBEsol geometry",
  "dos_at_fermi_per_ev_fu": 0.0,
  "space_group": "No. 14",
  "cell": [[12.066, 0.000, 0.000], [0.000, 10.593, 0.000], [-0.794, 0.000, 9.494]],
  "species": ["Ba", "Ba", "Ba", "Ba", "Ba", "Ba", "Ba", "Ba", "Ca", "Ca", "Ca", "Ca", "Ca", "Ca", "Ca", "Ca", "P", "P", "P", "P", "P", "P", "P", "P", "P", "P", "P", "P", "P", "P", "P", "P", "O", "O", "O", "O", "O", "O", "O", "O", "O", "O", "O", "O", "O", "O", "O", "O", "O", "O", "O", "O", "O", "O", "O", "O", "O", "O", "O", "O", "O", "O", "O", "O", "O", "O", "O", "O", "O", "O", "O", "O", "O", "O", "O", "O", "O", "O", "O", "O", "O", "O", "O", "O", "O", "O", "O", "O"],
  "frac_coords": [[0.085, 0.013, 0.223], [0.085, 0.487, 0.723], [0.343, 0.193, 0.908], [0.343, 0.307, 0.408], [0.657, 0.693, 0.592], [0.657, 0.807, 0.092], [0.915, 0.513, 0.277], [0.915, 0.987, 0.777], [0.218, 0.654, 0.329], [0.218, 0.846, 0.829], [0.348, 0.576, 0.990], [0.348, 0.924, 0.490], [0.652, 0.076, 0.510], [0.652, 0.424, 0.010], [0.782, 0.154, 0.171], [0.782, 0.346, 0.671], [0.061, 0.727, 0.029], [0.061, 0.773, 0.529], [0.159, 0.138, 0.615], [0.159, 0.362, 0.115], [0.344, 0.605, 0.616], [0.344, 0.895, 0.116], [0.498, 0.093, 0.244], [0.498, 0.407, 0.744], [0.502, 0.593, 0.256], [0.502, 0.907, 0.756], [0.656, 0.105, 0.884], [0.656, 0.395, 0.384], [0.841, 0.638, 0.885], [0.841, 0.862, 0.385], [0.939, 0.227, 0.471], [0.939, 0.273, 0.971], [0.029, 0.134, 0.553], [0.029, 0.366, 0.053], [0.041, 0.637, 0.480], [0.041, 0.863, 0.980], [0.052, 0.712, 0.187], [0.052, 0.788, 0.687], [0.161, 0.045, 0.737], [0.161, 0.455, 0.237], [0.170, 0.676, 0.980], [0.170, 0.824, 0.480], [0.191, 0.229, 0.163], [0.191, 0.271, 0.663], [0.225, 0.098, 0.490], [0.225, 0.402, 0.990], [0.264, 0.517, 0.529], [0.264, 0.983, 0.029], [0.296, 0.638, 0.756], [0.296, 0.862, 0.256], [0.376, 0.576, 0.242], [0.376, 0.924, 0.742], [0.379, 0.715, 0.529], [0.379, 0.785, 0.029], [0.448, 0.210, 0.172], [0.448, 0.290, 0.672], [0.454, 0.076, 0.390], [0.454, 0.424, 0.890], [0.461, 0.531, 0.650], [0.461, 0.969, 0.150], [0.539, 0.031, 0.850], [0.539, 0.469, 0.350], [0.546, 0.576, 0.110], [0.546, 0.924, 0.610], [0.552, 0.710, 0.328], [0.552, 0.790, 0.828], [0.621, 0.215, 0.971], [0.621, 0.285, 0.471], [0.624, 0.076, 0.258], [0.624, 0.424, 0.758], [0.704, 0.138, 0.744], [0.704, 0.362, 0.244], [0.736, 0.017, 0.971], [0.736, 0.483, 0.471], [0.775, 0.598, 0.010], [0.775, 0.902, 0.510], [0.809, 0.729, 0.337], [0.809, 0.771, 0.837], [0.830, 0.176, 0.520], [0.830, 0.324, 0.020], [0.839, 0.545, 0.763], [0.839, 0.955, 0.263], [0.948, 0.212, 0.313], [0.948, 0.288, 0.813], [0.959, 0.137, 0.020], [0.959, 0.363, 0.520], [0.971, 0.634, 0.947], [0.971, 0.866, 0.447]]
}


{
  "formula": "Ti3IrPt",
  "functional": "meta-GGA SCAN",
  "state": "PBEsol geometry",
  "dos_at_fermi_per_ev_fu": 8.7,
  "ef_ev_per_atom": 0.449,
  "space_group": "No. 221",
  "cell": [[4.626, 0.000, 0.000], [0.000, 4.626, 0.000], [0.000, 0.000, 4.626]],
  "species": ["Ti", "Ti", "Ti", "Ir", "Pt"],
  "frac_coords": [[0.000, 0.000, 0.500], [0.000, 0.500, 0.000], [0.500, 0.000, 0.000], [0.500, 0.500, 0.500], [0.000, 0.000, 0.000]]
}


{
  "formula": "Li2AlIn",
  "functional": "meta-GGA SCAN",
  "state": "PBEsol geometry",
  "dos_at_fermi_per_ev_fu": 1.3,
  "ef_ev_per_atom": -0.206,
  "space_group": "No. 65",
  "cell": [[2.945, -3.966, 0.000], [2.945, 3.966, 0.000], [0.000, 0.000, 2.986]],
  "species": ["Li", "Li", "Al", "In"],
  "frac_coords": [[0.000, 0.500, 0.000], [0.500, 0.000, 0.000], [0.000, 0.000, 0.500], [0.500, 0.500, 0.500]]
}


{
  "formula": "SrSeOF2",
  "functional": "meta-GGA SCAN",
  "state": "PBEsol geometry",
  "dos_at_fermi_per_ev_fu": 1.6,
  "space_group": "No. 123",
  "cell": [[4.610, 0.000, 0.000], [0.000, 4.610, 0.000], [0.000, 0.000, 3.912]],
  "species": ["Sr", "Se", "O", "F", "F"],
  "frac_coords": [[0.000, 0.000, 0.000], [0.500, 0.500, 0.500], [0.500, 0.500, 0.000], [0.000, 0.500, 0.500], [0.500, 0.000, 0.500]]
}


{
  "formula": "Mg2InCo",
  "functional": "meta-GGA SCAN",
  "state": "PBEsol geometry",
  "dos_at_fermi_per_ev_fu": 3.0,
  "ef_ev_per_atom": 0.109,
  "space_group": "No. 216",
  "cell": [[0.000, 3.220, 3.220], [3.220, 0.000, 3.220], [3.220, 3.220, 0.000]],
  "species": ["Mg", "Mg", "In", "Co"],
  "frac_coords": [[0.000, 0.000, 0.000], [0.250, 0.250, 0.250], [0.750, 0.750, 0.750], [0.500, 0.500, 0.500]]
}


Record-wise energy values, in eV per atom: -19.85 -56.94 -57.53 -30.58 -24.95 -18.28 -57.52 -62.66 -33.25 -37.75 -60.08 -29.62 -39.73 -70.49 -23.41 -13.40 -37.43 -11.69 -12.85 -15.05
Record-wise total magnetic moment values, in μB per formula unit: 0.91 3.18 3.46 0.00 0.00 0.00 0.00 0.00 0.00 4.03 0.00 0.26 0.00 0.00 0.08 0.00 0.00 0.00 0.00 0.01